[1]
8
Lattice="7.1570 0.0000 0.0000 0.0000 7.1570 0.0000 3.5785 3.5785 3.0862" Properties=species:S:1:pos:R:3 comment="Zr2PPt, optimized geometry, DFT GGA-PBE" rho_g_cm3=8.58 sg=I-42d formation_energy_ev_per_atom=-0.697 n_ef_per_ev_cell=7.65 pbc="T T T"
P 3.5785 3.5785 0.0000
P 3.5785 7.1570 1.5431
Zr 8.9463 8.8653 2.3146
Zr 5.3678 5.4487 2.3146
Zr 5.2868 1.7893 0.7715
Zr 1.8702 5.3678 0.7715
Pt 0.0000 0.0000 0.0000
Pt 7.1570 3.5785 1.5431

=====

[2]
6
Lattice="-3.9805 -3.8164 -0.7110 -5.2792 1.5899 -0.7188 -2.4298 -0.5908 -4.9661" Properties=species:S:1:pos:R:3 comment="Zr4PPt, optimized geometry, DFT GGA-PBE" rho_g_cm3=8.07 sg=F-43m formation_energy_ev_per_atom=0.241 n_ef_per_ev_cell=6.07 pbc="T T T"
P -8.7672 -2.1129 -4.7969
Zr -4.3840 -1.0566 -2.3987
Zr -5.5985 -1.3519 -4.8810
Zr -7.0228 -0.2619 -2.7580
Zr -6.3737 -2.9642 -2.7541
Pt 0.0000 0.0000 0.0000

=====

[3]
3
Lattice="0.0000 3.0811 3.0811 3.0811 0.0000 3.0811 3.0811 3.0811 0.0000" Properties=species:S:1:pos:R:3 comment="ZrPPt, optimized geometry, DFT GGA-PBE" rho_g_cm3=9.01 sg=F-43m formation_energy_ev_per_atom=-0.678 n_ef_per_ev_cell=4.11 pbc="T T T"
P 3.0811 3.0811 3.0811
Pt 4.6216 4.6216 4.6216
Zr 0.0000 0.0000 0.0000